{
  "formula": "Th2ZrTe2Br4",
  "functional": "PBE-GGA",
  "state": "optimized geometry",
  "cell": [[3.880, 0.000, 0.000], [-1.940, 3.360, 0.000], [0.000, 0.000, 23.936]],
  "species": ["Th", "Th", "Zr", "Te", "Te", "Br", "Br", "Br", "Br"],
  "fractional_positions": [[0.000, 0.000, 0.000], [0.333, 0.667, 0.334], [0.333, 0.667, 0.677], [0.000, 0.000, 0.599], [0.000, 0.000, 0.756], [0.000, 0.000, 0.248], [0.000, 0.000, 0.420], [0.333, 0.667, 0.086], [0.333, 0.667, 0.914]],
  "energy_ev_per_atom": -5.246,
  "spacegroup": "P3m1, No. 156",
  "density_g_cm3": 6.01,
  "n_ef_per_ev_fu": 1.4,
  "m_tot_mub_per_atom": 0.00,
  "formation_energy_uncorrected_kj_per_mol_fu": -1047
}